{
  "formula": "Si2TcOs",
  "functional": "PBE",
  "state": "optimized geometry",
  "lattice": [[-2.0930, 0.3771, 2.2665], [2.1772, -0.6543, 2.1193], [1.3218, 5.4270, 0.3177]],
  "species": ["Tc", "Si", "Os", "Si"],
  "fractional_positions": [[0.0000, 0.0000, 0.4440], [0.5000, 0.5000, 0.2551], [0.5000, 0.5000, 0.8013], [0.0000, 0.0000, 0.9996]],
  "formation_energy_uncorrected_kj_per_mol_fu": -135,
  "dos_at_fermi_per_ev_atom": 0.5826,
  "volume_a3_per_atom": 13.511,
  "relative_energy_ev_per_atom": 0.065,
  "energy_ev_per_cell": -33.84
}